LiW2Cl: optimized geometry, PBE.

Cell and atoms, written as extended XYZ:
```
4
Lattice="0.000 3.048 3.048 3.048 0.000 3.048 3.048 3.048 0.000" Properties=species:S:1:pos:R:3 pbc="T T T"
Li 0.000 0.000 0.000
W 1.524 1.524 1.524
W 4.572 4.572 4.572
Cl 3.048 3.048 3.048
```

Results
E above lowest polymorph	1358	meV/atom
uncorrected energy	-6.01	eV per atom
symmetry	Fm-3m (225)
formation energy (no corrections)	1405.9	meV per atom

***

Ir2WSe: optimized geometry, PBE.

Cell and atoms, written as extended XYZ:
```
4
Lattice="-3.708 1.532 -0.339 -0.554 -1.818 -2.150 -2.111 -4.557 2.486" Properties=species:S:1:pos:R:3 pbc="T T T"
Ir -2.102 -4.586 2.266
Ir -2.623 -1.167 -0.492
Se -1.259 -2.906 0.632
W -3.832 -3.929 0.244
```

Results
E above lowest polymorph	182	meV/atom
uncorrected energy	-8.27	eV per atom
symmetry	Amm2 (38)
formation energy (no corrections)	265.2	meV per atom

***

CeAsRh: optimized geometry, PBE.

Cell and atoms, written as extended XYZ:
```
6
Lattice="4.307 0.000 0.000 -2.154 3.730 0.000 0.000 0.000 7.563" Properties=species:S:1:pos:R:3 pbc="T T T"
As 0.000 2.487 1.891
As 2.154 1.243 5.672
Rh 0.000 2.487 5.672
Rh 2.154 1.243 1.891
Ce 0.000 0.000 3.781
Ce 0.000 0.000 0.000
```

Results
energy of formation	-26.44	kcal/mol of atoms
uncorrected energy	-7.12	eV per atom
symmetry	P6_3/mmc (194)

***

Tb7HoMg4: optimized geometry, PBE.

Cell and atoms, written as extended XYZ:
```
12
Lattice="-2.270 3.702 3.762 -6.809 -4.128 4.341 2.050 -1.971 7.563" Properties=species:S:1:pos:R:3 pbc="T T T"
Tb -6.714 -1.697 10.780
Tb -0.315 -0.700 4.886
Tb -3.559 -2.600 4.798
Tb -3.470 0.203 10.868
Tb -3.805 -3.560 9.982
Tb -1.135 1.851 1.881
Tb -3.224 1.163 5.684
Ho 0.000 0.000 0.000
Mg -2.029 -0.456 7.999
Mg -5.000 -1.941 7.667
Mg -3.947 -2.166 12.911
Mg -3.082 -0.231 2.755
```

Results
energy of formation	3.83	kcal/mol of atoms
uncorrected energy	-3.45	eV per atom
symmetry	C2/m (12)

***

Ac2TlZnGe: optimized geometry, PBE.

Cell and atoms, written as extended XYZ:
```
10
Lattice="-3.077 -3.362 1.774 5.384 -3.786 2.165 -0.778 4.912 7.958" Properties=species:S:1:pos:R:3 pbc="T T T"
Ac 1.501 -2.402 8.163
Ac 1.679 -4.935 3.672
Ac 0.028 0.166 3.734
Ac -0.150 2.700 8.225
Tl 2.793 -1.738 4.922
Tl -1.264 -0.498 6.975
Zn 1.466 0.379 6.632
Zn 0.062 -2.615 5.265
Ge 2.607 0.565 8.964
Ge -1.079 -2.801 2.933
```

Results
energy of formation	-10.16	kcal/mol of atoms
uncorrected energy	-3.74	eV per atom
symmetry	P2_1/m (11)

***

Nd2Y2Tm3: optimized geometry, PBE.

Cell and atoms, written as extended XYZ:
```
7
Lattice="3.511 0.000 0.000 0.000 8.705 -0.421 -1.756 -3.351 7.652" Properties=species:S:1:pos:R:3 pbc="T T T"
Nd 1.756 4.125 6.084
Nd 0.000 1.228 1.147
Y 1.756 6.957 1.749
Y 0.000 -1.603 5.482
Tm 0.000 4.352 -0.211
Tm 0.000 4.146 3.095
Tm 1.756 1.208 4.136
```

Results
energy of formation	3.03	kcal/mol of atoms
E above lowest polymorph	0	meV/atom
uncorrected energy	-4.99	eV per atom
symmetry	C2/m (12)

***

ReAu3Br: optimized geometry, PBE.

Cell and atoms, written as extended XYZ:
```
5
Lattice="5.105 0.000 0.000 0.000 5.105 0.000 0.000 0.000 5.105" Properties=species:S:1:pos:R:3 pbc="T T T"
Re 2.553 2.553 2.553
Au 0.000 2.553 0.000
Au 0.000 0.000 2.553
Au 2.553 0.000 0.000
Br 0.000 0.000 0.000
```

Results
E above lowest polymorph	642	meV/atom
uncorrected energy	-2.88	eV per atom
symmetry	Pm-3m (221)
formation energy (no corrections)	1911.2	meV per atom

***

AlInIr2: optimized geometry, PBE.

Cell and atoms, written as extended XYZ:
```
4
Lattice="2.881 0.000 0.000 0.000 2.881 0.000 0.000 0.000 8.079" Properties=species:S:1:pos:R:3 pbc="T T T"
Ir 0.000 0.000 0.172
Ir 1.441 1.441 2.071
Al 0.000 0.000 3.648
In 1.441 1.441 6.227
```

Results
energy of formation	-0.83	kcal/mol of atoms
uncorrected energy	-6.09	eV per atom
symmetry	P4mm (99)

***

Among the records above, which one has the lowest uncorrected energy?
Ir2WSe

***

Among the records above, which one has the highest uncorrected energy?
ReAu3Br